1.
! Mg2Se4N GGA-PBE optimized geometry; values from VASP
! Formation energy from raw total energies, eV/atom: 0.127
! M_tot, μB/atom: 0.000
! DOS at the Fermi energy, states/eV/atom: 0.561
! VASP energy, eV per cell: -24.6
&SYSTEM
  ibrav = 0, nat = 7, ntyp = 3
/
ATOMIC_SPECIES
Mg 24.30 Mg.upf
Se 78.96 Se.upf
N 14.01 N.upf
CELL_PARAMETERS angstrom
4.312 0.000 0.000
0.000 4.312 0.000
2.156 2.156 7.229
ATOMIC_POSITIONS crystal
Mg 0.640 0.640 0.720
Mg 0.360 0.360 0.280
Se 0.826 0.826 0.349
Se 0.174 0.174 0.651
Se 0.000 0.500 0.000
Se 0.500 0.000 0.000
N 0.000 0.000 0.000



2.
! Mg4Se2N GGA-PBE optimized geometry; values from VASP
! Formation energy from raw total energies, eV/atom: -0.808
! M_tot, μB/atom: 0.000
! DOS at the Fermi energy, states/eV/atom: 0.263
! VASP energy, eV per cell: -27.3
&SYSTEM
  ibrav = 0, nat = 7, ntyp = 3
/
ATOMIC_SPECIES
Mg 24.30 Mg.upf
Se 78.96 Se.upf
N 14.01 N.upf
CELL_PARAMETERS angstrom
-3.661 -0.789 -1.976
0.768 -4.158 0.236
-4.769 -2.731 5.389
ATOMIC_POSITIONS crystal
Mg 0.157 0.157 0.685
Mg 0.843 0.843 0.315
Mg 0.000 0.500 0.000
Mg 0.500 0.000 0.000
Se 0.352 0.352 0.295
Se 0.648 0.648 0.705
N 0.000 0.000 0.000



3.
! MgSiSe2N GGA-PBE optimized geometry; values from VASP
! Formation energy from raw total energies, eV/atom: -0.128
! M_tot, μB/atom: 0.000
! DOS at the Fermi energy, states/eV/atom: 0.231
! VASP energy, eV per cell: -23.0
! E above lowest polymorph, meV per atom: 0.0
&SYSTEM
  ibrav = 0, nat = 5, ntyp = 4
/
ATOMIC_SPECIES
Si 28.09 Si.upf
Mg 24.30 Mg.upf
Se 78.96 Se.upf
N 14.01 N.upf
CELL_PARAMETERS angstrom
5.177 0.000 0.000
0.000 5.177 0.000
0.000 0.000 3.301
ATOMIC_POSITIONS crystal
Si 0.000 0.000 0.000
Mg 0.500 0.500 0.500
Se 0.000 0.500 0.000
Se 0.500 0.000 0.000
N 0.000 0.000 0.500